(1)
Ca2TiNbN4: relaxed, PBE.

Cell lengths 3.1717, 5.4885, 5.8223 Å; angles 108.28, 90.00, 90.00 degrees
With the nearest neighbours (Å) after each atom.
Sites, in units of the cell vectors:
Ca 0.5000 0.0000 0.5000  6 N 2.42-2.43
Ca 0.0000 0.5000 0.5000  6 N 2.43-2.44
Ti 0.0000 0.0000 0.0000  6 N 2.16-2.17
Nb 0.5000 0.5000 0.0000  6 N 2.17-2.18
N 0.5000 0.2346 0.2081  2 Ti 2.16, 1 Nb 2.17
N 0.5000 0.7654 0.7919  2 Ti 2.16, 1 Nb 2.17
N 0.0000 0.2606 0.7872  1 Ti 2.17, 2 Nb 2.18, 2 Ca 2.42
N 0.0000 0.7394 0.2128  1 Ti 2.17, 2 Nb 2.18, 2 Ca 2.42

Summary:
The symmetry is P2/m, No. 10. The energy relative to the elements, uncorrected comes out at -1264 meV/atom. The crystal system is monoclinic.

(2)
VNi3Br9: relaxed, PBE.

Cell lengths 8.9766, 9.9333, 10.7579 Å; angles 74.71, 65.34, 63.14 degrees
With the nearest neighbours (Å) after each atom.
Sites, in units of the cell vectors:
V 0.0390 0.4947 0.0026  6 Br 2.45-2.61
V 0.4638 0.9947 0.5026  6 Br 2.45-2.61
Ni 0.8140 0.5690 0.6764  4 Br 2.35-2.44
Ni 0.9406 0.0690 0.1764  4 Br 2.35-2.44
Ni 0.9824 0.9343 0.8465  4 Br 2.35-2.41
Ni 0.2367 0.4343 0.3465  4 Br 2.35-2.41
Ni 0.5825 0.2471 0.7158  4 Br 2.34-2.42
Ni 0.4547 0.7471 0.2158  4 Br 2.34-2.42
Br 0.3318 0.1708 0.3253  1 Ni 2.40, 1 V 2.52
Br 0.1720 0.6708 0.8253  1 Ni 2.40, 1 V 2.52
Br 0.3472 0.2883 0.9378  1 Ni 2.42, 1 V 2.52
Br 0.4267 0.7883 0.4378  1 Ni 2.42, 1 V 2.52
Br 0.1657 0.0711 0.6948  1 Ni 2.41, 1 V 2.53
Br 0.0684 0.5711 0.1948  1 Ni 2.41, 1 V 2.53
Br 0.7441 0.7357 0.0614  1 Ni 2.40, 1 V 2.61
Br 0.4589 0.2357 0.5614  1 Ni 2.40, 1 V 2.61
Br 0.7806 0.9315 0.3663  1 Ni 2.44, 1 V 2.45
Br 0.9216 0.4315 0.8663  1 Ni 2.44, 1 V 2.45
Br 0.5634 0.8019 0.6992  1 Ni 2.37, 1 V 2.61
Br 0.9355 0.3019 0.1992  1 Ni 2.37, 1 V 2.61
Br 0.4863 0.4981 0.2233  2 Ni 2.34-2.35
Br 0.7922 0.9981 0.7233  2 Ni 2.34-2.35
Br 0.7337 0.4105 0.6090  2 Ni 2.35-2.37
Br 0.2469 0.9105 0.1090  2 Ni 2.35-2.37
Br 0.8032 0.1045 0.0194  2 Ni 2.35-2.37
Br 0.0728 0.6045 0.5194  2 Ni 2.35-2.37

Summary:
The symmetry is Cc, No. 9. The energy relative to the elements, uncorrected comes out at -350 meV/atom. The crystal system is monoclinic.

(3)
Pr2DyHoO6: relaxed, PBE.

Cell lengths 5.9812, 5.9812, 6.1563 Å; angles 60.94, 60.94, 60.00 degrees
With the nearest neighbours (Å) after each atom.
Sites, in units of the cell vectors:
Pr 0.5326 0.5326 0.4023  6 O 2.38-2.52
Pr 0.0323 0.0323 0.9030  6 O 2.37-2.52
Dy 0.8100 0.8100 0.5700  6 O 2.25-2.34
Ho 0.3105 0.3105 0.0686  6 O 2.24-2.33
O 0.6086 0.1872 0.2614  1 Ho 2.24, 1 Dy 2.34, 1 Pr 2.38
O 0.1872 0.9428 0.2614  1 Ho 2.24, 1 Dy 2.34, 1 Pr 2.38
O 0.9428 0.6086 0.2614  1 Ho 2.24, 1 Dy 2.34, 1 Pr 2.38
O 0.4411 0.6862 0.7623  1 Dy 2.25, 1 Ho 2.33, 1 Pr 2.37
O 0.6862 0.1103 0.7623  1 Dy 2.25, 1 Ho 2.33, 1 Pr 2.37
O 0.1103 0.4411 0.7624  1 Dy 2.25, 1 Ho 2.33, 1 Pr 2.37

Summary:
The symmetry is R3, No. 146. The energy relative to the elements, uncorrected comes out at -3417 meV/atom. The crystal system is trigonal.

(4)
Dy4P3PtRh12: relaxed, PBE.

Cell lengths 7.8403, 7.8403, 7.8403 Å; angles 109.47, 109.47, 109.47 degrees
With the nearest neighbours (Å) after each atom.
Sites, in units of the cell vectors:
Dy 0.5000 0.5000 0.5000  12 Rh 3.20-3.21
Dy 0.0000 0.0000 0.5000  12 Rh 3.20-3.21
Dy 0.5000 0.0000 0.0000  12 Rh 3.20-3.21
Dy 0.0000 0.5000 0.0000  12 Rh 3.20-3.21
P 0.5000 0.0000 0.5000  6 Rh 2.08-2.26
P 0.5000 0.5000 0.0000  6 Rh 2.08-2.26
P 0.0000 0.5000 0.5000  6 Rh 2.08-2.26
Pt 0.0000 0.0000 0.0000  6 Rh 2.45
Rh 0.2500 0.5000 0.7500  2 P 2.26
Rh 0.7297 0.0000 0.7297  1 P 2.08
Rh 0.2703 0.0000 0.2703  1 P 2.08
Rh 0.7500 0.5000 0.2500  2 P 2.26
Rh 0.7297 0.7297 0.0000  1 P 2.08
Rh 0.2703 0.2703 0.0000  1 P 2.08
Rh 0.7500 0.2500 0.5000  2 P 2.26
Rh 0.2500 0.7500 0.5000  2 P 2.26
Rh 0.5000 0.2500 0.7500  2 P 2.26
Rh 0.0000 0.7297 0.7297  1 P 2.08
Rh 0.5000 0.7500 0.2500  2 P 2.26
Rh 0.0000 0.2703 0.2703  1 P 2.08

Summary:
The symmetry is Im-3m, No. 229. The crystal system is cubic. As for the energy of formation: -0.47 eV per atom.